## TaMnCd2 (GGA-PBE)

Data for a geometry-optimized TaMnCd2 structure.

Geometry as POSCAR:
```
TaMnCd2
1.0
2.838 0.000 0.000
0.000 4.787 0.000
-1.269 0.000 5.340
Ta Mn Cd
1 1 2
direct
0.000 0.000 0.000
0.500 0.000 0.500
0.328 0.500 0.741
0.672 0.500 0.259
```

Computed properties:
For the energy, the calculation gives -5.3281 eV/atom. The calculation puts the formation energy at 0.38 eV/atom. Its space group is No. 10.